No. 1
The following is a PBE calculation of a relaxed Nb2InSn crystal, from the Alexandria database.

```
Nb2InSn
1.0
1.559 0.900 9.658
-1.559 0.900 9.658
0.000 -1.800 9.658
Nb In Sn
2 1 1
direct
0.000 0.000 0.000
0.168 0.168 0.168
0.417 0.417 0.417
0.584 0.584 0.584
```

Results
ΔE_f: 0.102 eV/atom
total magnetization: 0.0000 μB/atom
volume: 81.34 Å³ per cell

---

No. 2
The following is a PBE calculation of a relaxed CrCu2Pd4 crystal, from the Alexandria database.

```
CrCu2Pd4
1.0
-2.761 2.761 3.560
2.761 -2.761 3.560
2.761 2.761 -3.560
Cr Cu Pd
1 2 4
direct
0.000 0.000 0.000
0.000 0.500 0.500
0.500 0.000 0.500
0.000 0.000 0.500
0.000 0.500 0.000
0.500 0.000 0.000
0.500 0.500 0.500
```

Results
polymorph energy (0 for the lowest one): 0.0000 eV/atom
ΔE_f: 0.085 eV/atom
total magnetization: 0.4427 μB/atom
volume: 108.51 Å³ per cell

---

No. 3
The following is a PBE calculation of a relaxed BaSrFe2Cl crystal, from the Alexandria database.

```
BaSrFe2Cl
1.0
5.526 0.000 0.000
0.000 5.526 0.000
0.000 0.000 5.584
Ba Sr Fe Cl
1 1 2 1
direct
0.000 0.000 0.000
0.500 0.500 0.500
0.000 0.500 0.500
0.500 0.000 0.500
0.500 0.500 0.000
```

Results
total magnetization: 1.0635 μB/atom
uncorrected formation energy: 0.55 eV/atom
volume: 170.50 Å³ per cell

---

No. 4
The following is a PBE calculation of a relaxed LaTb5Sm2Y crystal, from the Alexandria database.

```
LaTb5Sm2Y
1.0
-4.416 4.416 7.723
4.416 -4.416 7.723
4.416 4.416 -7.723
La Tb Sm Y
2 10 4 2
direct
0.250 0.250 0.000
0.750 0.750 0.000
0.000 0.000 0.000
0.073 0.573 0.917
0.157 0.073 0.500
0.343 0.843 0.917
0.427 0.343 0.500
0.500 0.500 0.000
0.573 0.657 0.500
0.657 0.157 0.083
0.843 0.927 0.500
0.927 0.427 0.083
0.116 0.384 0.500
0.384 0.884 0.268
0.616 0.116 0.732
0.884 0.616 0.500
0.250 0.750 0.500
0.750 0.250 0.500
```

Results
ΔE_f: 0.265 eV/atom
total magnetization: 0.0000 μB/atom
volume: 602.33 Å³ per cell

---

No. 5
The following is a PBE calculation of a relaxed TiRe2Mo3 crystal, from the Alexandria database.

```
TiRe2Mo3
1.0
6.593 -2.197 0.000
6.593 2.197 0.000
-0.707 0.000 6.745
Ti Re Mo
2 4 6
direct
0.148 0.148 0.280
0.852 0.852 0.720
0.228 0.228 0.655
0.463 0.463 0.802
0.537 0.537 0.198
0.772 0.772 0.345
0.075 0.075 0.881
0.307 0.307 0.035
0.387 0.387 0.431
0.613 0.613 0.569
0.693 0.693 0.965
0.925 0.925 0.119
```

Results
ΔE_f: 0.016 eV/atom
total magnetization: 0.0000 μB/atom
volume: 195.41 Å³ per cell

---

No. 6
The following is a PBE calculation of a relaxed RbLaAlS4 crystal, from the Alexandria database.

```
RbLaAlS4
1.0
7.155 0.000 0.000
0.000 5.781 0.000
-2.474 0.000 9.328
Rb La Al S
2 2 2 8
direct
0.237 0.250 0.459
0.763 0.750 0.541
0.245 0.250 0.941
0.755 0.750 0.059
0.253 0.750 0.176
0.747 0.250 0.824
0.060 0.750 0.320
0.101 0.750 0.941
0.498 0.015 0.210
0.498 0.485 0.210
0.502 0.515 0.790
0.502 0.985 0.790
0.899 0.250 0.059
0.940 0.250 0.680
```

Results
total magnetization: 0.0020 μB/atom
uncorrected formation energy: -1.45 eV/atom
volume: 385.79 Å³ per cell

---

Q: What is the volume in the first record?
A: 81.34 Å³ per cell

---

Q: What is the volume in the second record?
A: 108.51 Å³ per cell

---

Q: Which value of volume does entry 2 give?
A: 108.51 Å³ per cell

---

Q: What is the formula in the third record?
A: BaSrFe2Cl